(1)
Entry from Alexandria via LeMat-Bulk: crystalline Zn8Cu5Rh at its relaxed geometry (PBE).

Cell lengths 7.3787, 7.3787, 7.3245 Å; angles 90.00, 90.00, 90.00 degrees
Closest atoms and distances in Å follow each position.
Space group I-4 (No. 82)
Asymmetric unit:
Zn  0.0601  0.1638  0.1757  4 Zn 2.58-2.74, 5 Cu 2.58-2.74, 1 Rh 2.70
Zn  0.1147  0.3210  0.5037  5 Cu 2.43-2.59, 1 Rh 2.52, 2 Zn 2.70-2.71
Cu  0.0000  0.5000  0.2500  8 Zn 2.43-2.58
Cu  0.1112  0.3065  0.8418  8 Zn 2.48-2.74, 2 Cu 2.69
Rh  0.0000  0.0000  0.5000  8 Zn 2.52-2.70

Summary:
- N(E_F) (states/eV/f.u.) = 4.7
- energy of formation from the pure elements (meV/atom) = -2
- total energy (eV/atom) = -2.718

(2)
Entry from Alexandria via LeMat-Bulk: crystalline TaSn2Se at its relaxed geometry (PBE).

Cell lengths 7.0860, 7.0860, 7.0860 Å; angles 90.00, 90.00, 90.00 degrees
Closest atoms and distances in Å follow each position.
Space group Fm-3m (No. 225)
Asymmetric unit:
Ta  0.0000  0.0000  0.0000  8 Sn 3.07
Sn  0.2500  0.2500  0.2500  4 Ta 3.07, 4 Se 3.07
Se  0.0000  0.0000  0.5000  8 Sn 3.07

Summary:
- N(E_F) (states/eV/f.u.) = 3.7
- energy relative to the lowest polymorph listed for this composition (meV per atom) = 0.0
- E_form (uncorrected) (eV per formula unit) = 2.4
- total energy (eV/atom) = -5.248

(3)
Entry from Alexandria via LeMat-Bulk: crystalline Sr2DyUS6 at its relaxed geometry (PBE).

Cell lengths 6.9559, 7.4238, 12.2742 Å; angles 90.00, 124.43, 90.00 degrees
Closest atoms and distances in Å follow each position.
Space group P2_1/c (No. 14)
Asymmetric unit:
Sr  0.2226  0.0792  0.2492  6 S 3.00-3.23
Dy  0.0000  0.0000  0.5000  6 S 2.71-2.73
U  0.5000  0.0000  0.0000  6 S 2.61-2.64
S  0.1392  0.1910  0.9423  1 U 2.61, 1 Dy 2.73
S  0.2540  0.7014  0.9395  1 U 2.64, 1 Dy 2.72
S  0.3681  0.0353  0.7551  1 U 2.61, 1 Dy 2.71

Summary:
- N(E_F) (states/eV/f.u.) = 0.5
- E_form (uncorrected) (eV per formula unit) = -18.5
- total energy (eV/atom) = -6.251

(4)
Entry from Alexandria via LeMat-Bulk: crystalline CaEr3Ag4 at its relaxed geometry (PBE).

Cell lengths 10.2497, 7.2304, 5.1270 Å; angles 90.00, 90.00, 90.00 degrees
Closest atoms and distances in Å follow each position.
Space group Pmma (No. 51)
Asymmetric unit:
Ca  0.0000  0.0000  0.0000  8 Ag 3.17
Er  0.0000  0.5000  0.0000  8 Ag 3.10
Er  0.2500  0.0000  0.4994  8 Ag 3.17-3.18
Er  0.2500  0.5000  0.4993  8 Ag 3.10
Ag  0.0000  0.2590  0.5000  6 Er 3.10-3.17, 2 Ca 3.17
Ag  0.2500  0.2590  0.9989  6 Er 3.10-3.18, 2 Ca 3.17

Summary:
- N(E_F) (states/eV/f.u.) = 4.5
- energy of formation from the pure elements (meV/atom) = -322
- total energy (eV/atom) = -3.709

(5)
Entry from Alexandria via LeMat-Bulk: crystalline K2BaBr2 at its relaxed geometry (PBE).

Cell lengths 5.8359, 5.8359, 14.0563 Å; angles 90.00, 90.00, 90.00 degrees
Closest atoms and distances in Å follow each position.
Space group I4/mmm (No. 139)
Asymmetric unit:
K  0.0000  0.0000  0.1553  4 Br 3.21
Ba  0.0000  0.0000  0.5000  8 Br 4.57, 10 K 4.67-4.84
Br  0.0000  0.5000  0.2500  4 K 3.21

Summary:
- N(E_F) (states/eV/f.u.) = 0.0
- energy relative to the lowest polymorph listed for this composition (meV per atom) = 130.0
- E_form (uncorrected) (eV per formula unit) = -5.4
- total energy (eV/atom) = -2.566

(6)
Entry from Alexandria via LeMat-Bulk: crystalline Sm15Er2Mg2 at its relaxed geometry (PBE).

Cell lengths 11.2327, 11.2327, 17.4928 Å; angles 90.00, 90.00, 120.00 degrees
Closest atoms and distances in Å follow each position.
Space group R-3m (No. 166, hexagonal axes)
Asymmetric unit:
Sm  0.0000  0.2976  0.0000  6 Sm 3.34-3.38, 2 Mg 3.72
Sm  0.0000  0.5000  0.5000  8 Sm 3.35-3.38, 2 Mg 3.49
Sm  0.0141  0.5071  0.1402  6 Sm 3.24-3.35
Er  0.0000  0.0000  0.3186  1 Mg 3.95, 15 Sm 3.97-4.19
Mg  0.0000  0.0000  0.0928  1 Mg 3.25, 3 Sm 3.49

Summary:
- N(E_F) (states/eV/f.u.) = 25.1
- energy of formation from the pure elements (meV/atom) = 235
- total energy (eV/atom) = -4.139